# Cs2GeSe3 | Alexandria | SCAN | PBEsol geometry
data_Cs2GeSe3
_symmetry_space_group_name_H-M 'C 1 2/m 1'
_symmetry_Int_Tables_number 12
_cell_length_a 14.248
_cell_length_b 7.330
_cell_length_c 10.331
_cell_angle_alpha 90.00
_cell_angle_beta 124.70
_cell_angle_gamma 90.00
loop_
_symmetry_equiv_pos_as_xyz
'x,y,z'
'-x,-y,-z'
'-x,y,-z'
'x,-y,z'
'x+1/2,y+1/2,z'
'-x+1/2,-y+1/2,-z'
'-x+1/2,y+1/2,-z'
'x+1/2,-y+1/2,z'
loop_
_atom_site_label
_atom_site_type_symbol
_atom_site_fract_x
_atom_site_fract_y
_atom_site_fract_z
_atom_site_occupancy
Cs1 Cs 0.084 0.000 0.364 1
Cs2 Cs 0.196 0.500 0.819 1
Ge1 Ge 0.117 0.500 0.183 1
Se1 Se 0.000 0.254 0.000 1
Se2 Se 0.110 0.500 0.400 1
Se3 Se 0.205 0.000 0.774 1
# raw total energy = -26.866 eV per atom